This record from Alexandria describes an optimized crystal structure of CdIn2Cl. The functional is PBE.

a b c (Å): 5.359 5.359 5.359
angles (deg): 60.00 60.00 60.00
Fractional coordinates of all 4 atoms:
Cd: 0.000 0.000 0.000
In: 0.250 0.250 0.250
In: 0.500 0.500 0.500
Cl: 0.750 0.750 0.750

The electronic total energy is -2.1835 eV/atom. As for the space-group type: No. 216. As for the uncorrected formation energy: -124 meV per atom.



This record from Alexandria describes an optimized crystal structure of Cd5In3Cl12. The functional is PBE.

a b c (Å): 14.781 14.781 14.781
angles (deg): 109.47 109.47 109.47
Fractional coordinates of all 80 atoms:
Cd: 0.000 0.000 0.000
Cd: 0.000 0.000 0.500
Cd: 0.000 0.500 0.000
Cd: 0.000 0.500 0.500
Cd: 0.125 0.750 0.875
Cd: 0.125 0.875 0.250
Cd: 0.250 0.125 0.875
Cd: 0.250 0.625 0.375
Cd: 0.375 0.250 0.625
Cd: 0.375 0.625 0.750
Cd: 0.500 0.000 0.000
Cd: 0.500 0.000 0.500
Cd: 0.500 0.500 0.000
Cd: 0.500 0.500 0.500
Cd: 0.625 0.375 0.250
Cd: 0.625 0.750 0.375
Cd: 0.750 0.375 0.625
Cd: 0.750 0.875 0.125
Cd: 0.875 0.125 0.750
Cd: 0.875 0.250 0.125
In: 0.125 0.250 0.375
In: 0.125 0.375 0.750
In: 0.250 0.375 0.125
In: 0.250 0.875 0.625
In: 0.375 0.125 0.250
In: 0.375 0.750 0.125
In: 0.625 0.250 0.875
In: 0.625 0.875 0.750
In: 0.750 0.125 0.375
In: 0.750 0.625 0.875
In: 0.875 0.625 0.250
In: 0.875 0.750 0.625
Cl: 0.022 0.201 0.115
Cl: 0.022 0.321 0.907
Cl: 0.086 0.701 0.679
Cl: 0.086 0.885 0.407
Cl: 0.093 0.615 0.414
Cl: 0.093 0.978 0.679
Cl: 0.115 0.022 0.201
Cl: 0.115 0.593 0.914
Cl: 0.179 0.201 0.586
Cl: 0.179 0.478 0.593
Cl: 0.201 0.115 0.022
Cl: 0.201 0.586 0.179
Cl: 0.299 0.321 0.914
Cl: 0.299 0.478 0.385
Cl: 0.321 0.907 0.022
Cl: 0.321 0.914 0.299
Cl: 0.385 0.299 0.478
Cl: 0.385 0.586 0.907
Cl: 0.407 0.086 0.885
Cl: 0.407 0.821 0.522
Cl: 0.414 0.093 0.615
Cl: 0.414 0.821 0.799
Cl: 0.478 0.385 0.299
Cl: 0.478 0.593 0.179
Cl: 0.522 0.407 0.821
Cl: 0.522 0.615 0.701
Cl: 0.586 0.179 0.201
Cl: 0.586 0.907 0.385
Cl: 0.593 0.179 0.478
Cl: 0.593 0.914 0.115
Cl: 0.615 0.414 0.093
Cl: 0.615 0.701 0.522
Cl: 0.679 0.086 0.701
Cl: 0.679 0.093 0.978
Cl: 0.701 0.522 0.615
Cl: 0.701 0.679 0.086
Cl: 0.799 0.414 0.821
Cl: 0.799 0.885 0.978
Cl: 0.821 0.522 0.407
Cl: 0.821 0.799 0.414
Cl: 0.885 0.407 0.086
Cl: 0.885 0.978 0.799
Cl: 0.907 0.022 0.321
Cl: 0.907 0.385 0.586
Cl: 0.914 0.115 0.593
Cl: 0.914 0.299 0.321
Cl: 0.978 0.679 0.093
Cl: 0.978 0.799 0.885

The electronic total energy is -2.6685 eV/atom. As for the space-group type: No. 230. As for the uncorrected formation energy: -921 meV per atom.



This record from Alexandria describes an optimized crystal structure of CdInCl2. The functional is PBE.

a b c (Å): 5.962 5.962 7.697
angles (deg): 98.85 98.85 62.35
Fractional coordinates of all 8 atoms:
Cd: 0.000 0.000 0.000
Cd: 0.000 0.000 0.500
In: 0.000 0.500 0.000
In: 0.500 0.000 0.500
Cl: 0.265 0.423 0.327
Cl: 0.423 0.265 0.827
Cl: 0.577 0.735 0.173
Cl: 0.735 0.577 0.673

The electronic total energy is -2.3877 eV/atom. As for the space-group type: No. 15. As for the uncorrected formation energy: -551 meV per atom.



This record from Alexandria describes an optimized crystal structure of CdInCl2. The functional is PBE.

a b c (Å): 3.501 3.501 8.542
angles (deg): 90.00 90.00 90.00
Fractional coordinates of all 4 atoms:
Cd: 0.000 0.000 0.000
In: 0.500 0.500 0.735
Cl: 0.000 0.000 0.545
Cl: 0.500 0.500 0.165

The electronic total energy is -2.3871 eV/atom. As for the space-group type: No. 99. As for the uncorrected formation energy: -550 meV per atom.



This record from Alexandria describes an optimized crystal structure of CdIn2Cl. The functional is PBE.

a b c (Å): 6.473 6.473 6.473
angles (deg): 139.88 139.88 58.04
Fractional coordinates of all 4 atoms:
Cd: 0.000 0.000 0.000
In: 0.500 0.500 0.000
In: 0.750 0.250 0.500
Cl: 0.250 0.750 0.500

The electronic total energy is -2.2884 eV/atom. As for the space-group type: No. 119. As for the uncorrected formation energy: -229 meV per atom.



This record from Alexandria describes an optimized crystal structure of Cd2InCl. The functional is PBE.

a b c (Å): 8.550 8.550 8.550
angles (deg): 25.67 25.67 25.67
Fractional coordinates of all 4 atoms:
Cd: 0.248 0.248 0.248
Cd: 0.752 0.752 0.752
In: 0.000 0.000 0.000
Cl: 0.500 0.500 0.500

The electronic total energy is -1.8440 eV/atom. As for the space-group type: No. 166. As for the uncorrected formation energy: -240 meV per atom.